[1]
## AlZn2Ga2Cu5 (PBE-GGA)

Data for a relaxed structure of AlZn2Ga2Cu5. Values from VASP.

Structure (Quantum ESPRESSO input):
```
&SYSTEM
  ibrav = 0, nat = 20, ntyp = 4
/
ATOMIC_SPECIES
Al 26.98 Al.upf
Zn 65.41 Zn.upf
Ga 69.72 Ga.upf
Cu 63.55 Cu.upf
CELL_PARAMETERS angstrom
8.4365 0.0000 0.0000
0.0000 8.4365 0.0000
0.0000 0.0000 3.9791
ATOMIC_POSITIONS crystal
Al 0.0000 0.0000 0.0000
Al 0.5000 0.5000 0.0000
Zn 0.1189 0.3811 0.0000
Zn 0.3811 0.8811 0.0000
Zn 0.6189 0.1189 0.0000
Zn 0.8811 0.6189 0.0000
Ga 0.1775 0.6775 0.0000
Ga 0.3225 0.1775 0.0000
Ga 0.6775 0.8225 0.0000
Ga 0.8225 0.3225 0.0000
Cu 0.0000 0.5000 0.5000
Cu 0.0923 0.1907 0.5000
Cu 0.1907 0.9077 0.5000
Cu 0.3093 0.4077 0.5000
Cu 0.4077 0.6907 0.5000
Cu 0.5000 0.0000 0.5000
Cu 0.5923 0.3093 0.5000
Cu 0.6907 0.5923 0.5000
Cu 0.8093 0.0923 0.5000
Cu 0.9077 0.8093 0.5000
```

Summary:
Total magnetic moment in μB per atom: 0.000
Density of states at the Fermi level in states/eV/f.u.: 3.03
Formation enthalpy at 0 K in eV per atom: 0.03

=====

[2]
## Pr3Mg3Al8 (PBE-GGA)

Data for a relaxed structure of Pr3Mg3Al8. Values from VASP.

Structure (Quantum ESPRESSO input):
```
&SYSTEM
  ibrav = 0, nat = 14, ntyp = 3
/
ATOMIC_SPECIES
Pr 140.91 Pr.upf
Mg 24.30 Mg.upf
Al 26.98 Al.upf
CELL_PARAMETERS angstrom
-2.2138 5.1256 6.7940
2.2138 -5.1256 6.7940
2.2138 5.1256 -6.7940
ATOMIC_POSITIONS crystal
Pr 0.0000 0.0000 0.0000
Pr 0.3052 0.3052 0.0000
Pr 0.6948 0.6948 0.0000
Mg 0.2915 0.5000 0.7915
Mg 0.5000 0.0000 0.5000
Mg 0.7085 0.5000 0.2085
Al 0.0329 0.6616 0.3713
Al 0.1256 0.8524 0.2732
Al 0.2903 0.6616 0.6287
Al 0.4208 0.1476 0.2732
Al 0.5792 0.8524 0.7268
Al 0.7097 0.3384 0.3713
Al 0.8744 0.1476 0.7268
Al 0.9671 0.3384 0.6287
```

Summary:
Total magnetic moment in μB per atom: 0.000
Density of states at the Fermi level in states/eV/f.u.: 6.64
Formation enthalpy at 0 K in eV per atom: -0.34

=====

[3]
## TaCdSe (PBE-GGA)

Data for a relaxed structure of TaCdSe. Values from VASP.

Structure (Quantum ESPRESSO input):
```
&SYSTEM
  ibrav = 0, nat = 3, ntyp = 3
/
ATOMIC_SPECIES
Ta 180.95 Ta.upf
Cd 112.41 Cd.upf
Se 78.96 Se.upf
CELL_PARAMETERS angstrom
3.2656 0.0000 0.0000
-1.6328 2.8281 0.0000
0.0000 0.0000 6.8615
ATOMIC_POSITIONS crystal
Ta 0.0000 0.0000 0.0000
Cd 0.6667 0.3333 0.3419
Se 0.3333 0.6667 0.7467
```

Summary:
Energy relative to the elements, uncorrected in meV/atom: -178.4
ΔE to the lowest computed polymorph in kJ/mol of formula units: 0.0
Total magnetic moment in μB per atom: 0.000
Density of states at the Fermi level in states/eV/f.u.: 2.14

=====

[4]
## AlCuRe (PBE-GGA)

Data for a relaxed structure of AlCuRe. Values from VASP.

Structure (Quantum ESPRESSO input):
```
&SYSTEM
  ibrav = 0, nat = 6, ntyp = 3
/
ATOMIC_SPECIES
Al 26.98 Al.upf
Cu 63.55 Cu.upf
Re 186.21 Re.upf
CELL_PARAMETERS angstrom
4.2520 0.0000 0.0000
0.0000 4.3509 2.2727
0.0000 -4.3509 2.2727
ATOMIC_POSITIONS crystal
Al 0.0000 0.1705 0.8295
Al 0.0000 0.8295 0.1705
Cu 0.5000 0.5225 0.8734
Cu 0.5000 0.8734 0.5225
Re 0.0000 0.4947 0.4947
Re 0.5000 0.1943 0.1943
```

Summary:
ΔE to the lowest computed polymorph in kJ/mol of formula units: 27.4
Total magnetic moment in μB per atom: 0.000
Density of states at the Fermi level in states/eV/f.u.: 0.87
Formation enthalpy at 0 K in eV per atom: -0.02

=====

[5]
## CaEuCu (PBE-GGA)

Data for a relaxed structure of CaEuCu. Values from VASP.

Structure (Quantum ESPRESSO input):
```
&SYSTEM
  ibrav = 0, nat = 3, ntyp = 3
/
ATOMIC_SPECIES
Ca 40.08 Ca.upf
Eu 151.96 Eu.upf
Cu 63.55 Cu.upf
CELL_PARAMETERS angstrom
-1.8218 1.8218 6.6271
1.8218 -1.8218 6.6271
1.8218 1.8218 -6.6271
ATOMIC_POSITIONS crystal
Ca 0.0000 0.0000 0.0000
Eu 0.2648 0.2648 0.0000
Cu 0.6302 0.6302 0.0000
```

Summary:
ΔE to the lowest computed polymorph in kJ/mol of formula units: 0.0
Total magnetic moment in μB per atom: 2.490
Density of states at the Fermi level in states/eV/f.u.: 6.66
Formation enthalpy at 0 K in eV per atom: -0.05

=====

[6]
## Dy2Ni4As3Pd (PBE-GGA)

Data for a relaxed structure of Dy2Ni4As3Pd. Values from VASP.

Structure (Quantum ESPRESSO input):
```
&SYSTEM
  ibrav = 0, nat = 10, ntyp = 4
/
ATOMIC_SPECIES
Dy 162.50 Dy.upf
Ni 58.69 Ni.upf
As 74.92 As.upf
Pd 106.42 Pd.upf
CELL_PARAMETERS angstrom
4.0332 0.0000 0.0000
0.0000 4.0332 0.0000
0.0000 0.0000 9.9233
ATOMIC_POSITIONS crystal
Dy 0.0000 0.5000 0.2469
Dy 0.5000 0.0000 0.7531
Ni 0.0000 0.0000 0.0000
Ni 0.0000 0.5000 0.6412
Ni 0.5000 0.0000 0.3588
Ni 0.5000 0.5000 0.0000
As 0.0000 0.5000 0.8701
As 0.5000 0.0000 0.1299
As 0.5000 0.5000 0.5000
Pd 0.0000 0.0000 0.5000
```

Summary:
Total magnetic moment in μB per atom: 0.000
Density of states at the Fermi level in states/eV/f.u.: 7.54
Formation enthalpy at 0 K in eV per atom: -0.74